Record 1
This record from Alexandria describes crystalline LaAl2Fe at its relaxed geometry. The functional is PBE.

a b c (Å): 4.3100 4.6383 4.6428
angles (deg): 64.56 90.00 90.00
Element x y z (fractional)
Fe (0.5000, 0.2500, 0.2500)
Al (0.0000, 0.0855, 0.0850)
Al (0.0000, 0.4145, 0.4150)
La (0.5000, 0.7500, 0.7500)

Calculated volume ... 20.95 A^3/atom
Raw total energy ... -21.4 eV for the cell shown
Calculated formation energy ... -0.125 eV per atom

Record 2
This record from Alexandria describes crystalline LaAl8Fe4 at its relaxed geometry. The functional is PBE.

a b c (Å): 6.7374 6.7374 6.7374
angles (deg): 98.05 98.05 136.04
Element x y z (fractional)
Al (0.5000, 0.2736, 0.7736)
Al (0.3438, 0.0000, 0.3438)
Al (0.6562, 0.0000, 0.6562)
Al (0.0000, 0.6562, 0.6562)
Al (0.0000, 0.3438, 0.3438)
Al (0.5000, 0.7264, 0.2264)
Al (0.2736, 0.5000, 0.7736)
Al (0.7264, 0.5000, 0.2264)
Fe (0.0000, 0.0000, 0.5000)
Fe (0.0000, 0.5000, 0.0000)
Fe (0.5000, 0.5000, 0.5000)
Fe (0.5000, 0.0000, 0.0000)
La (0.0000, 0.0000, 0.0000)

Calculated volume ... 15.14 A^3/atom
Raw total energy ... -73.8 eV for the cell shown
Calculated formation energy ... -0.388 eV per atom

Record 3
This record from Alexandria describes crystalline LaAl2Fe at its relaxed geometry. The functional is PBE.

a b c (Å): 3.1906 3.1953 7.9828
angles (deg): 66.39 90.00 90.00
Element x y z (fractional)
Al (0.5000, 0.2078, 0.2921)
Al (0.0000, 0.9357, 0.0645)
La (0.5000, 0.7851, 0.7149)
Fe (0.0000, 0.5714, 0.4285)

Calculated volume ... 18.64 A^3/atom
Raw total energy ... -21.2 eV for the cell shown
Calculated formation energy ... -0.077 eV per atom

Record 4
This record from Alexandria describes crystalline LaAlFe at its relaxed geometry. The functional is PBE.

a b c (Å): 4.8628 4.8628 4.8628
angles (deg): 60.00 60.00 60.00
Element x y z (fractional)
Fe (0.5000, 0.5000, 0.5000)
La (0.7500, 0.7500, 0.7500)
Al (0.0000, 0.0000, 0.0000)

Calculated volume ... 27.10 A^3/atom
Raw total energy ... -14.4 eV for the cell shown
Calculated formation energy ... 0.901 eV per atom